Computed, not measured: MoAsRu2 after structural relaxation at the PBE level of DFT.

Calculated values
Energy of formation in eV/f.u.: 0.08
Volume in Å³/f.u.: 58
Calculated density in Mg/m³: 10.6
DOS at the Fermi energy in states/eV per atom: 0.51

Lattice parameters (Å, degrees): 2.9420 2.9420 6.7526 90.00 90.00 90.00
Space group P4mm (No. 99)
One atom of each set of equivalent atoms:
Mo 0.0000 0.0000 0.0000 x1
As 0.5000 0.5000 0.7410 x1
Ru 0.0000 0.0000 0.5316 x1
Ru 0.5000 0.5000 0.2498 x1